[1]
First-principles (meta-GGA SCAN) data for a PBEsol-optimized structure of KMg3, as listed in the Alexandria database.

Values from the calculation:
Total energy = -5.611 eV per atom
DFT formation energy = 202 meV per atom
D(E_F) = 1.8 states/eV per cell
Space-group type = P-6m2

The structure in POSCAR format:
```
KMg3
1.0
3.3768 0.0000 0.0000
-1.6884 2.9244 0.0000
0.0000 0.0000 11.5012
Mg K
3 1
Direct
0.6667 0.3333 0.7186
0.0000 0.0000 0.5000
0.6667 0.3333 0.2814
0.0000 0.0000 0.0000
```



[2]
First-principles (meta-GGA SCAN) data for a PBEsol-optimized structure of Cd5Pt3, as listed in the Alexandria database.

Values from the calculation:
Total energy = -45.621 eV per atom
DFT formation energy = -289 meV per atom
D(E_F) = 5.8 states/eV per cell
Space-group type = I4/mcm

The structure in POSCAR format:
```
Cd5Pt3
1.0
5.2979 0.0000 0.0000
2.6489 7.3985 0.0000
2.6489 0.0000 7.3985
Cd Pt
10 6
Direct
0.9218 0.8547 0.3018
0.2764 0.1453 0.3018
0.2500 0.5000 0.5000
0.2236 0.6982 0.8547
0.7236 0.8547 0.6982
0.7500 0.5000 0.5000
0.5782 0.6982 0.1453
0.0782 0.1453 0.6982
0.7764 0.3018 0.1453
0.4218 0.3018 0.8547
0.2500 0.0000 0.0000
0.8343 0.5000 0.8314
0.6657 0.1686 0.5000
0.3343 0.8314 0.5000
0.7500 0.0000 0.0000
0.1657 0.5000 0.1686
```



[3]
First-principles (meta-GGA SCAN) data for a PBEsol-optimized structure of Sr2ReAsIr, as listed in the Alexandria database.

Values from the calculation:
Total energy = -40.499 eV per atom
DFT formation energy = 888 meV per atom
D(E_F) = 3.6 states/eV per cell
Space-group type = P4/mmm

The structure in POSCAR format:
```
Sr2ReAsIr
1.0
4.5784 0.0000 0.0000
0.0000 5.6094 0.0000
0.0000 0.0000 5.6094
Re Sr Ir As
1 2 1 1
Direct
0.0000 0.0000 0.0000
0.0000 0.0000 0.5000
0.0000 0.5000 0.0000
0.5000 0.5000 0.5000
0.5000 0.0000 0.0000
```



[4]
First-principles (meta-GGA SCAN) data for a PBEsol-optimized structure of CaZr2Cu, as listed in the Alexandria database.

Values from the calculation:
Total energy = -21.196 eV per atom
DFT formation energy = 369 meV per atom
D(E_F) = 5.3 states/eV per cell
Space-group type = P4/mmm

The structure in POSCAR format:
```
CaZr2Cu
1.0
4.2310 0.0000 0.0000
0.0000 4.2310 0.0000
0.0000 0.0000 4.7169
Ca Zr Cu
1 2 1
Direct
0.5000 0.5000 0.5000
0.5000 0.0000 0.0000
0.0000 0.5000 0.0000
0.0000 0.0000 0.5000
```



[5]
First-principles (meta-GGA SCAN) data for a PBEsol-optimized structure of CaAl2O4, as listed in the Alexandria database.

Values from the calculation:
Total energy = -10.500 eV per atom
Uncorrected formation energy = -3344 meV/atom
D(E_F) = 0.0 states/eV per cell
Space-group type = Pnma

The structure in POSCAR format:
```
CaAl2O4
1.0
2.8739 0.0000 0.0000
0.0000 8.8979 0.0000
0.0000 0.0000 10.3145
O Al Ca
16 8 4
Direct
0.2500 0.4741 0.7842
0.7500 0.5259 0.2158
0.7500 0.2037 0.8458
0.7500 0.9220 0.9279
0.2500 0.8851 0.4802
0.7500 0.0259 0.2842
0.2500 0.9741 0.7158
0.2500 0.7963 0.1542
0.2500 0.2963 0.3458
0.7500 0.6149 0.9802
0.7500 0.7037 0.6542
0.7500 0.4220 0.5721
0.2500 0.3851 0.0198
0.2500 0.5780 0.4279
0.7500 0.1149 0.5198
0.2500 0.0780 0.0721
0.2500 0.5621 0.6112
0.7500 0.9379 0.1112
0.2500 0.5816 0.1031
0.7500 0.9184 0.6031
0.2500 0.0816 0.3969
0.7500 0.4184 0.8969
0.7500 0.4379 0.3888
0.2500 0.0621 0.8888
0.7500 0.7578 0.3444
0.7500 0.2578 0.1556
0.2500 0.7422 0.8444
0.2500 0.2422 0.6556
```



[6]
First-principles (meta-GGA SCAN) data for a PBEsol-optimized structure of LiCu2BiO4, as listed in the Alexandria database.

Values from the calculation:
Total energy = -18.151 eV per atom
Uncorrected formation energy = -1114 meV/atom
D(E_F) = 7.2 states/eV per cell
Space-group type = P4/nmm

The structure in POSCAR format:
```
LiCu2BiO4
1.0
-3.7521 1.4471 -1.1372
-2.5950 -6.2802 0.5704
-1.5114 1.2182 6.5369
O Li Cu Bi
8 2 4 2
Direct
0.7881 0.5000 0.2716
0.7881 0.2284 0.0000
0.2119 0.2716 0.5000
0.7881 0.5000 0.7284
0.2119 0.7284 0.5000
0.2119 0.0000 0.7716
0.7881 0.7716 0.0000
0.2119 0.0000 0.2284
0.5000 0.5000 0.5000
0.5000 0.0000 0.0000
0.0000 0.7500 0.7500
0.0000 0.2500 0.2500
0.0000 0.7500 0.2500
0.0000 0.2500 0.7500
0.5054 0.5000 0.0000
0.4946 0.0000 0.5000
```



[7]
First-principles (meta-GGA SCAN) data for a PBEsol-optimized structure of AgAu2, as listed in the Alexandria database.

Values from the calculation:
Total energy = -56.619 eV per atom
DFT formation energy = -58 meV per atom
D(E_F) = 1.7 states/eV per cell
Space-group type = C2/m

The structure in POSCAR format:
```
AgAu2
1.0
2.8465 0.0000 0.0000
-1.4233 5.3573 0.0012
0.0000 -1.8986 6.6004
Au Ag
4 2
Direct
0.6949 0.3897 0.1390
0.6370 0.2740 0.5263
0.3051 0.6103 0.8610
0.3630 0.7260 0.4737
0.9728 0.9456 0.1930
0.0272 0.0544 0.8070
```



[8]
First-principles (meta-GGA SCAN) data for a PBEsol-optimized structure of Zn2TcAg, as listed in the Alexandria database.

Values from the calculation:
Total energy = -23.274 eV per atom
DFT formation energy = 90 meV per atom
D(E_F) = 1.9 states/eV per cell
Space-group type = Cmmm

The structure in POSCAR format:
```
Zn2TcAg
1.0
2.6488 0.0000 0.0000
0.0000 4.7392 -0.0050
0.0000 -1.3177 4.5523
Tc Zn Ag
1 2 1
Direct
0.5000 0.0000 0.0000
0.0000 0.5000 0.0000
0.0000 0.0000 0.5000
0.5000 0.5000 0.5000
```



- Which of these has the lowest D(E_F)?
  CaAl2O4